# Y2HfRe2

A relaxed Y2HfRe2 crystal (PBE, Alexandria).

abc: 6.9613 6.9613 4.6866
angles: 90.00 90.00 90.00
Closest atoms and distances in Å follow each position.
Positions (direct):
Y: 0.1747 0.6747 0.5000  6 Re 3.07-3.15, 1 Y 3.44
Y: 0.6747 0.8253 0.5000  6 Re 3.07-3.15, 1 Y 3.44
Y: 0.8253 0.3253 0.5000  6 Re 3.07-3.15, 1 Y 3.44
Y: 0.3253 0.1747 0.5000  6 Re 3.07-3.15, 1 Y 3.44
Re: 0.3766 0.8766 0.0000  1 Re 2.43
Re: 0.8766 0.6234 0.0000  1 Re 2.43
Re: 0.6234 0.1234 0.0000  1 Re 2.43
Re: 0.1234 0.3766 0.0000  1 Re 2.43
Hf: 0.0000 0.0000 0.0000  4 Re 2.76
Hf: 0.5000 0.5000 0.0000  4 Re 2.76

Calculated values
- DOS(E_F) (states/eV/cell) = 13.78
- total magnetization (μB/atom) = 0.0000
- calculated formation energy (eV/f.u.) = 0.56